1.
The following is a SCAN calculation of a crystal of KLiAl2 relaxed with PBEsol, from Alexandria.

a = 3.244 Å, b = 3.244 Å, c = 8.401 Å
α = 90.00°, β = 90.00°, γ = 90.00°
Sites, in units of the cell vectors:
K 0.000 0.000 0.000
Li 0.000 0.000 0.500
Al 0.500 0.500 0.326
Al 0.500 0.500 0.674

## Properties
Excess energy over the best structure of this formula in the dataset ... 0 kJ/mol of formula units
Total magnetic moment ... 0.00 μB/cell

=====

2.
The following is a SCAN calculation of a crystal of KLiAl2 relaxed with PBEsol, from Alexandria.

a = 5.121 Å, b = 5.121 Å, c = 5.121 Å
α = 60.00°, β = 60.00°, γ = 60.00°
Sites, in units of the cell vectors:
K 0.000 0.000 0.000
Li 0.500 0.500 0.500
Al 0.250 0.250 0.250
Al 0.750 0.750 0.750

## Properties
Excess energy over the best structure of this formula in the dataset ... 117 kJ/mol of formula units
Total magnetic moment ... 0.00 μB/cell

=====

Volume for every record listed, in sequence, given in Å³ per cell: 88.43 94.94.